An optimized crystal structure of Al2CoTcMo, computed with GGA-PBE.

Lattice parameters (Å, degrees): 4.280 4.280 4.401 90.00 90.00 90.00
Space group P4/mmm (No. 123)
One atom of each set of equivalent atoms:
Al  0.000  0.500  0.000 x2
Co  0.000  0.000  0.000 x1
Tc  0.000  0.000  0.500 x1
Mo  0.500  0.500  0.500 x1

Properties
**Total magnetic moment**: 0.0 μB per cell
**N(E_F)**: 5.7 states/eV/cell
**Volume**: 16.1 Å³/atom
**DFT total energy**: -6.4491 eV/atom

---

An optimized crystal structure of LaTaHg, computed with GGA-PBE.

Lattice parameters (Å, degrees): 3.141 3.141 14.426 90.00 90.00 90.00
Space group I4mm (No. 107)
One atom of each set of equivalent atoms:
La  0.000  0.000  0.000 x2
Ta  0.000  0.000  0.672 x2
Hg  0.000  0.000  0.315 x2

Properties
**Total magnetic moment**: 0.0 μB per cell
**N(E_F)**: 5.1 states/eV/cell
**Volume**: 23.7 Å³/atom
**DFT total energy**: -5.4367 eV/atom

---

An optimized crystal structure of DyGe2I8, computed with GGA-PBE.

Lattice parameters (Å, degrees): 13.333 11.745 7.691 90.00 103.36 90.00
Space group C2/m (No. 12)
One atom of each set of equivalent atoms:
Dy  0.000  0.000  0.000 x2
Ge  0.189  0.000  0.651 x4
I  0.087  0.179  0.791 x8
I  0.118  0.500  0.164 x4
I  0.206  0.000  0.276 x4

Properties
**Total magnetic moment**: 0.0 μB per cell
**N(E_F)**: 10.2 states/eV/cell
**ΔE_f (raw)**: -0.61 eV/atom
**Volume**: 53.3 Å³/atom

---

An optimized crystal structure of ScNbB2, computed with GGA-PBE.

Lattice parameters (Å, degrees): 5.851 5.851 5.851 90.00 90.00 90.00
Space group Fm-3m (No. 225)
One atom of each set of equivalent atoms:
Sc  0.000  0.000  0.000 x4
Nb  0.000  0.000  0.500 x4
B  0.250  0.250  0.250 x8

Properties
**Total magnetic moment**: 0.0 μB per cell
**N(E_F)**: 24.2 states/eV/cell
**Volume**: 12.5 Å³/atom
**DFT total energy**: -7.2176 eV/atom

---

An optimized crystal structure of IrCl, computed with GGA-PBE.

Lattice parameters (Å, degrees): 7.655 7.655 3.015 90.00 90.00 90.00
Space group P4_2/mnm (No. 136)
One atom of each set of equivalent atoms:
Ir  0.111  0.111  0.000 x4
Cl  0.216  0.784  0.000 x4

Properties
**Total magnetic moment**: 0.0 μB per cell
**N(E_F)**: 6.3 states/eV/cell
**ΔE_f (raw)**: 0.82 eV/atom
**Volume**: 22.1 Å³/atom

---

An optimized crystal structure of RbNaAg2I4, computed with GGA-PBE.

Lattice parameters (Å, degrees): 8.034 8.875 9.416 90.00 90.00 90.00
Space group I222 (No. 23)
One atom of each set of equivalent atoms:
Rb  0.000  0.000  0.000 x2
Na  0.000  0.000  0.500 x2
Ag  0.000  0.500  0.160 x4
I  0.243  0.191  0.318 x8

Properties
**Total magnetic moment**: 0.0 μB per cell
**N(E_F)**: 0.0 states/eV/cell
**ΔE_f (raw)**: -0.78 eV/atom
**Volume**: 42.0 Å³/atom

---

Q: Look up the total magnetic moment of the third one.
A: 0.0 μB per cell